1.
Computed, not measured: Si12Ni31 at its PBEsol-relaxed geometry at the meta-GGA SCAN level of DFT.

```
data_Si12Ni31
_symmetry_space_group_name_H-M 'P 1'
_symmetry_Int_Tables_number 1
_cell_length_a 6.5816
_cell_length_b 6.5816
_cell_length_c 12.1303
_cell_angle_alpha 90.00
_cell_angle_beta 90.00
_cell_angle_gamma 120.00
loop_
_symmetry_equiv_pos_as_xyz
'x,y,z'
loop_
_atom_site_label
_atom_site_type_symbol
_atom_site_fract_x
_atom_site_fract_y
_atom_site_fract_z
_atom_site_occupancy
Si1 Si 0.0000 0.0000 0.2938 1
Si2 Si 0.0000 0.0000 0.7062 1
Si3 Si 0.3333 0.6667 0.2760 1
Si4 Si 0.6667 0.3333 0.7240 1
Si5 Si 0.3333 0.6667 0.7743 1
Si6 Si 0.6667 0.3333 0.2257 1
Si7 Si 0.3183 0.3183 0.0000 1
Si8 Si 0.6817 0.0000 0.0000 1
Si9 Si 0.0000 0.6817 0.0000 1
Si10 Si 0.6491 0.6491 0.5000 1
Si11 Si 0.3509 0.0000 0.5000 1
Si12 Si 0.0000 0.3509 0.5000 1
Ni1 Ni 0.0000 0.0000 0.5000 1
Ni2 Ni 0.0000 0.0000 0.0974 1
Ni3 Ni 0.0000 0.0000 0.9026 1
Ni4 Ni 0.3333 0.6667 0.0726 1
Ni5 Ni 0.6667 0.3333 0.9274 1
Ni6 Ni 0.3333 0.6667 0.5667 1
Ni7 Ni 0.6667 0.3333 0.4333 1
Ni8 Ni 0.6665 0.5902 0.0957 1
Ni9 Ni 0.4098 0.0763 0.0957 1
Ni10 Ni 0.9237 0.3335 0.0957 1
Ni11 Ni 0.3335 0.9237 0.9043 1
Ni12 Ni 0.0763 0.4098 0.9043 1
Ni13 Ni 0.5902 0.6665 0.9043 1
Ni14 Ni 0.2975 0.3344 0.1975 1
Ni15 Ni 0.6656 0.9631 0.1975 1
Ni16 Ni 0.0369 0.7025 0.1975 1
Ni17 Ni 0.7025 0.0369 0.8025 1
Ni18 Ni 0.9631 0.6656 0.8025 1
Ni19 Ni 0.3344 0.2975 0.8025 1
Ni20 Ni 0.6754 0.6418 0.3049 1
Ni21 Ni 0.3582 0.0336 0.3049 1
Ni22 Ni 0.9664 0.3246 0.3049 1
Ni23 Ni 0.3246 0.9664 0.6951 1
Ni24 Ni 0.0336 0.3582 0.6951 1
Ni25 Ni 0.6418 0.6754 0.6951 1
Ni26 Ni 0.3078 0.3668 0.4033 1
Ni27 Ni 0.6332 0.9410 0.4033 1
Ni28 Ni 0.0590 0.6922 0.4033 1
Ni29 Ni 0.6922 0.0590 0.5967 1
Ni30 Ni 0.9410 0.6332 0.5967 1
Ni31 Ni 0.3668 0.3078 0.5967 1
```

symmetry	P321 (150)
calculated volume	455.06	Å³ per cell
magnetic moment	0.0	μB/cell

2.
Computed, not measured: Si3Ni5 at its PBEsol-relaxed geometry at the meta-GGA SCAN level of DFT.

```
data_Si3Ni5
_symmetry_space_group_name_H-M 'P 1'
_symmetry_Int_Tables_number 1
_cell_length_a 4.6840
_cell_length_b 6.5462
_cell_length_c 6.5462
_cell_angle_alpha 82.65
_cell_angle_beta 69.04
_cell_angle_gamma 69.04
loop_
_symmetry_equiv_pos_as_xyz
'x,y,z'
loop_
_atom_site_label
_atom_site_type_symbol
_atom_site_fract_x
_atom_site_fract_y
_atom_site_fract_z
_atom_site_occupancy
Ni1 Ni 0.7500 0.5000 0.5000 1
Ni2 Ni 0.2500 0.5000 0.5000 1
Ni3 Ni 0.4225 0.8616 0.2934 1
Ni4 Ni 0.5775 0.1384 0.7066 1
Ni5 Ni 0.9225 0.2934 0.8616 1
Ni6 Ni 0.0775 0.7066 0.1384 1
Ni7 Ni 0.2159 0.8616 0.7066 1
Ni8 Ni 0.7841 0.1384 0.2934 1
Ni9 Ni 0.2841 0.2934 0.1384 1
Ni10 Ni 0.7159 0.7066 0.8616 1
Si1 Si 0.7500 0.0000 0.0000 1
Si2 Si 0.2500 0.0000 0.0000 1
Si3 Si 0.3389 0.5000 0.8223 1
Si4 Si 0.6611 0.5000 0.1777 1
Si5 Si 0.8389 0.8223 0.5000 1
Si6 Si 0.1611 0.1777 0.5000 1
```

symmetry	I4/mcm (140)
calculated volume	175.03	Å³ per cell
magnetic moment	0.0	μB/cell

Taking the records one at a time from the top gives formation energy (no corrections) values of -0.49; -0.48 eV per atom.